LaHfTl2As at its PBEsol-relaxed geometry, computed with SCAN.

Output
Calculated formation energy in eV per atom: 0.18
Total magnetization in μB per atom: 0.000
Raw total energy in eV/f.u.: -269.8
Calculated volume in Å³/cell: 143.98

Geometry as POSCAR:
```
LaHfTl2As
1.0
5.345 0.000 0.000
0.000 5.345 0.000
0.000 0.000 5.040
La Hf Tl As
1 1 2 1
direct
0.000 0.000 0.000
0.500 0.500 0.000
0.000 0.500 0.500
0.500 0.000 0.500
0.500 0.500 0.500
```